(1)
A plane-wave DFT calculation with PBE-GGA was carried out for crystalline Th2ZnFeNi at its relaxed geometry.

Cell lengths 6.869, 4.293, 7.039 Å; angles 90.00, 103.31, 90.00 degrees
Atoms (fractional coordinates):
Th1 0.044 0.250 0.322
Th2 0.332 0.750 0.069
Th3 0.668 0.250 0.931
Th4 0.956 0.750 0.678
Zn1 0.427 0.750 0.568
Zn2 0.573 0.250 0.432
Fe1 0.099 0.250 0.921
Fe2 0.901 0.750 0.079
Ni1 0.302 0.250 0.683
Ni2 0.698 0.750 0.317

Output
- Calculated formation energy: -0.193 eV/atom

=====

(2)
A plane-wave DFT calculation with PBE-GGA was carried out for crystalline KTcHg2 at its relaxed geometry.

Cell lengths 3.097, 3.097, 31.802 Å; angles 90.00, 90.00, 120.00 degrees
Atoms (fractional coordinates):
K1 0.000 0.000 0.000
K2 0.333 0.667 0.667
K3 0.667 0.333 0.333
Tc1 0.000 0.000 0.500
Tc2 0.333 0.667 0.167
Tc3 0.667 0.333 0.833
Hg1 0.000 0.000 0.239
Hg2 0.000 0.000 0.761
Hg3 0.333 0.667 0.427
Hg4 0.333 0.667 0.906
Hg5 0.667 0.333 0.094
Hg6 0.667 0.333 0.573

Output
- Energy above the most stable polymorph in this dataset: 123 meV/atom
- Calculated formation energy: 0.630 eV/atom

=====

(3)
A plane-wave DFT calculation with PBE-GGA was carried out for crystalline BeCrSi2 at its relaxed geometry.

Cell lengths 2.609, 3.938, 4.689 Å; angles 90.00, 105.49, 90.00 degrees
Atoms (fractional coordinates):
Be1 0.000 0.000 0.000
Cr1 0.150 0.500 0.290
Si1 0.428 0.500 0.831
Si2 0.734 0.000 0.486

Output
- Formation energy (no corrections): 19.5 kJ/mol of formula units

=====

(4)
A plane-wave DFT calculation with PBE-GGA was carried out for crystalline PrDyHoEr2 at its relaxed geometry.

Cell lengths 7.099, 7.099, 7.188 Å; angles 90.00, 90.00, 107.72 degrees
Atoms (fractional coordinates):
Pr1 0.228 0.772 0.750
Pr2 0.772 0.228 0.250
Dy1 0.500 0.500 0.250
Dy2 0.500 0.500 0.750
Ho1 0.222 0.778 0.250
Ho2 0.778 0.222 0.750
Er1 0.189 0.189 0.000
Er2 0.189 0.189 0.500
Er3 0.811 0.811 0.000
Er4 0.811 0.811 0.500

Output
- Calculated formation energy: 0.377 eV/atom

=====

(5)
A plane-wave DFT calculation with PBE-GGA was carried out for crystalline KTl3Ag at its relaxed geometry.

Cell lengths 6.163, 6.163, 6.163 Å; angles 90.00, 90.00, 90.00 degrees
Atoms (fractional coordinates):
K1 0.000 0.000 0.000
Tl1 0.000 0.000 0.500
Tl2 0.000 0.500 0.000
Tl3 0.500 0.000 0.000
Ag1 0.500 0.500 0.500

Output
- Energy above the most stable polymorph in this dataset: 867 meV/atom
- Calculated formation energy: 0.827 eV/atom

=====

(6)
A plane-wave DFT calculation with PBE-GGA was carried out for crystalline LiVRu3 at its relaxed geometry.

Cell lengths 4.057, 4.057, 4.057 Å; angles 90.00, 90.00, 90.00 degrees
Atoms (fractional coordinates):
Li1 0.000 0.000 0.000
V1 0.500 0.500 0.500
Ru1 0.000 0.000 0.500
Ru2 0.000 0.500 0.000
Ru3 0.500 0.000 0.000

Output
- Energy above the most stable polymorph in this dataset: 0 meV/atom
- Calculated formation energy: 0.853 eV/atom

=====

(7)
A plane-wave DFT calculation with PBE-GGA was carried out for crystalline Sr5ZnGa2 at its relaxed geometry.

Cell lengths 10.225, 10.225, 10.225 Å; angles 131.92, 131.92, 70.36 degrees
Atoms (fractional coordinates):
Sr1 0.000 0.000 0.000
Sr2 0.030 0.530 0.847
Sr3 0.183 0.030 0.500
Sr4 0.317 0.817 0.847
Sr5 0.470 0.317 0.500
Sr6 0.500 0.500 0.000
Sr7 0.530 0.683 0.500
Sr8 0.683 0.183 0.153
Sr9 0.817 0.970 0.500
Sr10 0.970 0.470 0.153
Zn1 0.250 0.250 0.000
Zn2 0.750 0.750 0.000
Ga1 0.108 0.392 0.500
Ga2 0.392 0.892 0.284
Ga3 0.608 0.108 0.716
Ga4 0.892 0.608 0.500

Output
- Calculated formation energy: -0.255 eV/atom

=====

(8)
A plane-wave DFT calculation with PBE-GGA was carried out for crystalline Tm2SnAu at its relaxed geometry.

Cell lengths 3.811, 3.811, 25.295 Å; angles 90.00, 90.00, 120.00 degrees
Atoms (fractional coordinates):
Tm1 0.000 0.000 0.242
Tm2 0.000 0.000 0.758
Tm3 0.333 0.667 0.425
Tm4 0.333 0.667 0.908
Tm5 0.667 0.333 0.092
Tm6 0.667 0.333 0.575
Sn1 0.000 0.000 0.000
Sn2 0.333 0.667 0.667
Sn3 0.667 0.333 0.333
Au1 0.000 0.000 0.500
Au2 0.333 0.667 0.167
Au3 0.667 0.333 0.833

Output
- Calculated formation energy: -0.584 eV/atom

=====

(9)
A plane-wave DFT calculation with PBE-GGA was carried out for crystalline CdCuHgMo2 at its relaxed geometry.

Cell lengths 5.265, 5.265, 5.171 Å; angles 90.00, 90.00, 90.00 degrees
Atoms (fractional coordinates):
Cd1 0.000 0.000 0.000
Cu1 0.500 0.500 0.500
Hg1 0.000 0.000 0.500
Mo1 0.000 0.500 0.000
Mo2 0.500 0.000 0.000

Output
- Calculated formation energy: 2.203 eV/atom

=====

(10)
A plane-wave DFT calculation with PBE-GGA was carried out for crystalline Sr2ZnI at its relaxed geometry.

Cell lengths 4.476, 4.476, 26.239 Å; angles 90.00, 90.00, 120.00 degrees
Atoms (fractional coordinates):
Sr1 0.000 0.000 0.239
Sr2 0.000 0.000 0.761
Sr3 0.333 0.667 0.427
Sr4 0.333 0.667 0.906
Sr5 0.667 0.333 0.094
Sr6 0.667 0.333 0.573
Zn1 0.000 0.000 0.500
Zn2 0.333 0.667 0.167
Zn3 0.667 0.333 0.833
I1 0.000 0.000 0.000
I2 0.333 0.667 0.667
I3 0.667 0.333 0.333

Output
- Formation energy (no corrections): -262.1 kJ/mol of formula units
- Energy above the most stable polymorph in this dataset: 0 meV/atom

=====

(11)
A plane-wave DFT calculation with PBE-GGA was carried out for crystalline K4TlPd3O8 at its relaxed geometry.

Cell lengths 7.384, 7.384, 6.897 Å; angles 117.68, 117.68, 51.11 degrees
Atoms (fractional coordinates):
K1 0.000 0.000 0.000
K2 0.000 0.500 0.500
K3 0.500 0.000 0.500
K4 0.500 0.500 0.000
Tl1 0.000 0.000 0.500
Pd1 0.000 0.500 0.000
Pd2 0.500 0.000 0.000
Pd3 0.500 0.500 0.500
O1 0.226 0.226 0.802
O2 0.242 0.706 0.674
O3 0.294 0.758 0.326
O4 0.316 0.316 0.241
O5 0.684 0.684 0.759
O6 0.706 0.242 0.674
O7 0.758 0.294 0.326
O8 0.774 0.774 0.198

Output
- Formation energy (no corrections): -1297.0 kJ/mol of formula units

=====

(12)
A plane-wave DFT calculation with PBE-GGA was carried out for crystalline CeTlSi at its relaxed geometry.

Cell lengths 4.556, 4.556, 14.568 Å; angles 90.00, 90.00, 90.00 degrees
Atoms (fractional coordinates):
Ce1 0.000 0.000 0.131
Ce2 0.000 0.000 0.869
Ce3 0.500 0.500 0.369
Ce4 0.500 0.500 0.631
Tl1 0.000 0.000 0.355
Tl2 0.000 0.000 0.645
Tl3 0.500 0.500 0.145
Tl4 0.500 0.500 0.855
Si1 0.000 0.500 0.000
Si2 0.000 0.500 0.500
Si3 0.500 0.000 0.000
Si4 0.500 0.000 0.500

Output
- Formation energy (no corrections): -72.9 kJ/mol of formula units

=====

(13)
A plane-wave DFT calculation with PBE-GGA was carried out for crystalline Pm2SmS4 at its relaxed geometry.

Cell lengths 8.028, 8.028, 8.028 Å; angles 119.65, 119.27, 90.94 degrees
Atoms (fractional coordinates):
Pm1 0.000 0.000 0.000
Pm2 0.500 0.000 0.000
Pm3 0.500 0.000 0.500
Pm4 0.500 0.500 0.500
Sm1 0.000 0.000 0.500
Sm2 0.000 0.500 0.000
S1 0.247 0.748 0.499
S2 0.249 0.240 0.491
S3 0.249 0.759 0.009
S4 0.250 0.252 0.999
S5 0.750 0.748 0.001
S6 0.751 0.241 0.991
S7 0.751 0.760 0.509
S8 0.753 0.252 0.501

Output
- Formation energy (no corrections): -1375.6 kJ/mol of formula units